Crystalline LaMg3Au4 at its relaxed geometry, computed with PBE.

Computed properties:
Size of the total moment: 0.0 Bohr magnetons per cell
Density of states at the Fermi level: 12.4 states/eV/cell
Calculated total energy: -84.5 eV/cell
ΔH_f (0 K): -5.3 eV per formula unit

Lattice parameters (Å, degrees): 4.6748 4.6748 26.7292 90.00 90.00 120.00
Closest atoms and distances in Å follow each position.
Space group R-3m (No. 166, hexagonal axes)
One atom of each set of equivalent atoms:
La 0.0000 0.0000 0.0000 x3  8 Au 3.19-3.41
Mg 0.0000 0.0000 0.2378 x6  7 Au 2.83-2.94
Mg 0.0000 0.0000 0.5000 x3  8 Au 2.76-2.89
Au 0.0000 0.0000 0.1276 x6  7 Mg 2.83-2.94
Au 0.0000 0.0000 0.3967 x6  4 Mg 2.76-2.83

---

Crystalline LaMg3Au2 at its relaxed geometry, computed with PBE.

Computed properties:
Size of the total moment: 0.0 Bohr magnetons per cell
Density of states at the Fermi level: 15.5 states/eV/cell
Calculated total energy: -78.1 eV/cell
ΔH_f (0 K): -3.3 eV per formula unit

Lattice parameters (Å, degrees): 16.9293 4.4250 8.5230 90.00 118.19 90.00
Closest atoms and distances in Å follow each position.
Space group C2/m (No. 12)
One atom of each set of equivalent atoms:
La 0.1430 0.0000 0.0648 x4  6 Au 3.25-3.51, 3 Mg 3.59-3.63
Mg 0.0453 0.0000 0.3808 x4  3 Au 2.72-2.82
Mg 0.1067 0.5000 0.7058 x4  3 Au 2.71-2.77, 1 Mg 3.01
Mg 0.1853 0.5000 0.4547 x4  4 Au 2.73-2.99, 3 Mg 2.95-3.01
Au 0.0159 0.5000 0.1749 x4  4 Mg 2.71-2.73, 1 Au 2.77
Au 0.2056 0.0000 0.7075 x4  6 Mg 2.77-2.99

---

Crystalline LaMgAu3 at its relaxed geometry, computed with PBE.

Computed properties:
Size of the total moment: 0.0 Bohr magnetons per cell
Density of states at the Fermi level: 8.7 states/eV/cell
Calculated total energy: -79.1 eV/cell
ΔH_f (0 K): -3.4 eV per formula unit

Lattice parameters (Å, degrees): 3.6275 27.3265 4.5860 90.00 90.00 90.00
Closest atoms and distances in Å follow each position.
Space group Cmcm (No. 63)
One atom of each set of equivalent atoms:
La 0.0000 0.0786 0.2500 x4  12 Au 3.23-3.57
Mg 0.0000 0.2097 0.7500 x4  7 Au 2.71-2.97
Au 0.0000 0.3089 0.7500 x4  5 Mg 2.71-2.97, 2 Au 2.83
Au 0.0000 0.3695 0.2500 x4  3 Au 2.79-2.83, 2 Mg 2.82
Au 0.0000 0.4717 0.2500 x4  3 Au 2.77-2.79